! Nd3SmAl GGA-PBE relaxed; values from VASP
&SYSTEM
  ibrav = 0, nat = 10, ntyp = 3
/
ATOMIC_SPECIES
Sm 150.36 Sm.upf
Nd 144.24 Nd.upf
Al 26.98 Al.upf
CELL_PARAMETERS angstrom
-3.1494 -0.9266 1.8648
4.7113 -4.9560 5.4859
1.5209 9.2633 3.3548
ATOMIC_POSITIONS angstrom
Sm 1.1239 1.8139 1.8096
Nd 0.7290 -1.5634 3.2976
Nd 2.6916 -3.6512 5.5573
Nd 1.1263 1.2479 5.3551
Al 3.5750 -0.6901 4.7061
Al 1.3670 4.7387 7.5043
Nd 3.1948 -0.7155 7.8745
Nd 3.8153 2.8007 6.8546
Sm -0.8938 7.1908 4.9140
Nd 1.7471 4.7645 4.3360
! Excess energy over the best structure of this formula in the dataset: 0.0000 eV/atom
! E_tot: -46.6 eV per cell
! E_form: -0.11 eV per atom